(1)
## RbGa2AgPt (PBE-GGA)

Data for RbGa2AgPt after structural relaxation.

Energy of formation = -122 kJ/mol of formula units
Raw total energy = -17.18 eV per formula unit

CIF file:
```
data_RbGa2AgPt
_chemical_formula_sum 'Rb1 Ga2 Ag1 Pt1'
_symmetry_space_group_name_H-M 'P 4/m m m'
_symmetry_Int_Tables_number 123
_symmetry_space_group_name_Hall '-P 4 2'
_cell_length_a 4.843
_cell_length_b 4.843
_cell_length_c 5.523
_cell_angle_alpha 90.00
_cell_angle_beta 90.00
_cell_angle_gamma 90.00
loop_
_atom_site_label
_atom_site_fract_x
_atom_site_fract_y
_atom_site_fract_z
Rb1 0.000 0.000 0.000
Ga1 0.000 0.500 0.500
Ag1 0.500 0.500 0.000
Pt1 0.500 0.500 0.500
```

***

(2)
## Rb2Ga12AgPt3 (PBE-GGA)

Data for Rb2Ga12AgPt3 after structural relaxation.

Energy of formation = -249 kJ/mol of formula units
Raw total energy = -61.82 eV per formula unit

CIF file:
```
data_Rb2Ga12AgPt3
_chemical_formula_sum 'Rb6 Ga36 Ag3 Pt9'
_symmetry_space_group_name_H-M 'R -3 m'
_symmetry_Int_Tables_number 166
_symmetry_space_group_name_Hall '-R 3 2"'
_cell_length_a 9.7651
_cell_length_b 9.7651
_cell_length_c 17.5955
_cell_angle_alpha 90.00
_cell_angle_beta 90.00
_cell_angle_gamma 120.00
loop_
_atom_site_label
_atom_site_fract_x
_atom_site_fract_y
_atom_site_fract_z
Rb1 0.0000 0.0000 0.1064
Ga1 0.0184 0.5092 0.1428
Ga2 0.1082 0.2164 0.6359
Ag1 0.0000 0.0000 0.5000
Pt1 0.0000 0.5000 0.0000
```

***

> What is the raw total energy in the first record?

-17.18 eV per formula unit

***

> What is the energy of formation in the first record?

-122 kJ/mol of formula units

***

Repeat the second record exactly.
## Rb2Ga12AgPt3 (PBE-GGA)

Data for Rb2Ga12AgPt3 after structural relaxation.

Energy of formation = -249 kJ/mol of formula units
Raw total energy = -61.82 eV per formula unit

CIF file:
```
data_Rb2Ga12AgPt3
_chemical_formula_sum 'Rb6 Ga36 Ag3 Pt9'
_symmetry_space_group_name_H-M 'R -3 m'
_symmetry_Int_Tables_number 166
_symmetry_space_group_name_Hall '-R 3 2"'
_cell_length_a 9.7651
_cell_length_b 9.7651
_cell_length_c 17.5955
_cell_angle_alpha 90.00
_cell_angle_beta 90.00
_cell_angle_gamma 120.00
loop_
_atom_site_label
_atom_site_fract_x
_atom_site_fract_y
_atom_site_fract_z
Rb1 0.0000 0.0000 0.1064
Ga1 0.0184 0.5092 0.1428
Ga2 0.1082 0.2164 0.6359
Ag1 0.0000 0.0000 0.5000
Pt1 0.0000 0.5000 0.0000
```